A relaxed structure of SmEr3In4. Source: Alexandria via LeMat-Bulk, functional PBE.

CIF file:
```
data_SmEr3In4
_chemical_formula_sum 'Sm2 Er6 In8'
_cell_length_a 3.4236
_cell_length_b 7.0998
_cell_length_c 18.7134
_cell_angle_alpha 90.00
_cell_angle_beta 90.00
_cell_angle_gamma 90.00
_space_group_name_H-M_alt 'I m m m'
_space_group_IT_number 71
_space_group_name_Hall '-I 2 2'
loop_
_atom_site_label
_atom_site_type_symbol
_atom_site_fract_x
_atom_site_fract_y
_atom_site_fract_z
Sm1 Sm 0.0000 0.0000 0.0000
Er1 Er 0.0000 0.0000 0.5000
Er2 Er 0.0000 0.5000 0.2797
In1 In 0.0000 0.2889 0.1280
```

Computed properties:
Crystal system: orthorhombic
E_tot in eV/atom: -3.967
Theoretical density in Mg/m³: 8.1
ΔE to the lowest computed polymorph in meV/atom: 154
Spin magnetization in Bohr magnetons per cell: 0.30
ΔH_f (0 K) in eV per atom: -0.30